Record 1
Computed, not measured: an optimized crystal structure of DyTh2Os at the GGA-PBE level of DFT.

Calculated values
DOS at the Fermi energy, states/eV/cell: 5.5
Polymorph energy (0 for the lowest one), meV/atom: 415
Electronic total energy, eV/atom: -7.479
Magnetization, μB per cell: 0.0

Cell and atoms, written as POSCAR:
```
DyTh2Os
1.0
1.9595 1.1313 10.2642
-1.9595 1.1313 10.2642
0.0000 -2.2626 10.2642
Dy Th Os
1 2 1
direct
0.0000 0.0000 0.0000
0.1133 0.1133 0.1133
0.8867 0.8867 0.8867
0.5000 0.5000 0.5000
```

=====

Record 2
Computed, not measured: an optimized crystal structure of KLi2Te at the GGA-PBE level of DFT.

Calculated values
ΔE_f (raw), eV per atom: -0.540
DOS at the Fermi energy, states/eV/cell: 1.1
Electronic total energy, eV/atom: -2.557
Magnetization, μB per cell: 0.8

Cell and atoms, written as POSCAR:
```
KLi2Te
1.0
5.1613 0.0000 0.0000
0.0000 4.6531 0.0000
-1.0510 0.0000 5.8861
K Li Te
1 2 1
direct
0.0000 0.0000 0.0000
0.4422 0.5000 0.7212
0.5578 0.5000 0.2788
0.5000 0.0000 0.5000
```